Material: LiCuP4O12
Method: DFT, PBE
State: relaxed

Properties
size of the total moment = 2.040 μB per formula unit
mass density = 2.84 g cm⁻³
space-group type = P2_12_12_1 (19)
E_form (uncorrected) = -1.838 eV/atom
relative energy among the computed polymorphs = 0.52 eV per formula unit

Lattice parameters (Å, degrees): 9.095 9.429 10.523 90.00 90.00 90.00
Site moments in Bohr magnetons follow the coordinates.
Positions (direct):
Li 0.851 0.756 0.814  0.00
Li 0.351 0.744 0.186  0.00
Li 0.649 0.244 0.314  0.00
Li 0.149 0.256 0.686  0.00
Cu 0.496 0.238 0.716  0.92
Cu 0.504 0.738 0.784  0.92
Cu 0.996 0.262 0.284  0.92
Cu 0.004 0.762 0.216  0.92
P 0.695 0.962 0.616  0.01
P 0.204 0.031 0.112  0.01
P 0.796 0.531 0.388  0.01
P 0.501 0.014 0.986  0.01
P 0.498 0.445 0.106  -0.01
P 0.499 0.514 0.514  0.01
P 0.805 0.038 0.116  0.01
P 0.195 0.538 0.384  0.01
P 0.002 0.555 0.606  -0.01
P 0.305 0.462 0.884  0.01
P 0.001 0.486 0.014  0.01
P 0.998 0.055 0.894  -0.01
P 0.704 0.469 0.888  0.01
P 0.502 0.945 0.394  -0.01
P 0.296 0.969 0.612  0.01
P 0.999 0.986 0.486  0.01
O 0.973 0.902 0.868  0.11
O 0.135 0.459 0.917  0.04
O 0.005 0.142 0.453  0.15
O 0.823 0.140 0.227  0.11
O 0.677 0.860 0.727  0.11
O 0.352 0.924 0.475  0.01
O 0.153 0.129 0.215  0.09
O 0.648 0.424 0.025  0.01
O 0.002 0.376 0.116  0.08
O 0.323 0.360 0.773  0.11
O 0.125 0.613 0.506  0.01
O 0.505 0.358 0.547  0.15
O 0.178 0.873 0.137  0.13
O 0.146 0.387 0.367  0.10
O 0.876 0.451 0.908  0.04
O 0.322 0.127 0.637  0.13
O 0.625 0.887 0.494  0.01
O 0.635 0.041 0.083  0.04
O 0.507 0.341 0.212  0.09
O 0.177 0.640 0.273  0.11
O 0.354 0.613 0.867  0.10
O 0.852 0.576 0.525  0.01
O 0.847 0.629 0.285  0.09
O 0.376 0.049 0.092  0.04
O 0.646 0.113 0.633  0.10
O 0.493 0.841 0.288  0.09
O 0.124 0.951 0.592  0.04
O 0.347 0.871 0.715  0.09
O 0.027 0.402 0.632  0.11
O 0.007 0.159 0.788  0.09
O 0.498 0.624 0.616  0.08
O 0.495 0.858 0.953  0.15
O 0.375 0.387 0.006  0.01
O 0.502 0.124 0.884  0.08
O 0.624 0.549 0.408  0.04
O 0.365 0.541 0.417  0.04
O 0.678 0.627 0.863  0.13
O 0.998 0.876 0.384  0.08
O 0.865 0.959 0.583  0.04
O 0.148 0.076 0.975  0.01
O 0.995 0.642 0.047  0.15
O 0.473 0.598 0.132  0.11
O 0.854 0.887 0.133  0.10
O 0.653 0.371 0.785  0.09
O 0.822 0.373 0.363  0.13
O 0.993 0.659 0.712  0.09
O 0.527 0.098 0.368  0.11
O 0.875 0.113 0.994  0.01

***

Material: LiCu5P2O8
Method: DFT, PBE
State: relaxed

Properties
size of the total moment = 0.000 μB per formula unit
mass density = 4.74 g cm⁻³
space-group type = P1 (1)
E_form (uncorrected) = -1.292 eV/atom
relative energy among the computed polymorphs = 0.10 eV per formula unit

Lattice parameters (Å, degrees): 5.112 5.486 6.447 87.71 86.09 89.28
Positions (direct):
Li 0.003 0.675 0.740
Cu 0.446 0.785 0.050
Cu 0.514 0.406 0.827
Cu 0.029 0.212 0.499
Cu 0.483 0.362 0.250
Cu 0.067 0.608 0.288
P 0.980 0.149 0.977
P 0.521 0.843 0.493
O 0.092 0.887 0.960
O 0.673 0.137 0.984
O 0.088 0.316 0.787
O 0.624 0.714 0.692
O 0.215 0.825 0.495
O 0.607 0.112 0.480
O 0.652 0.704 0.300
O 0.064 0.264 0.179

***

Material: LiCu2PO6
Method: DFT, PBE
State: relaxed

Properties
size of the total moment = 0.000 μB per formula unit
mass density = 3.77 g cm⁻³
space-group type = C2/c (15)
E_form (uncorrected) = -1.301 eV/atom

Lattice parameters (Å, degrees): 5.339 7.131 7.131 103.95 72.56 72.56
Positions (direct):
Li 0.250 0.910 0.090
Li 0.750 0.090 0.910
Cu 0.420 0.715 0.531
Cu 0.080 0.469 0.285
Cu 0.580 0.285 0.469
Cu 0.920 0.531 0.715
P 0.250 0.171 0.829
P 0.750 0.829 0.171
O 0.213 0.956 0.788
O 0.287 0.212 0.044
O 0.787 0.044 0.212
O 0.713 0.788 0.956
O 0.465 0.852 0.333
O 0.035 0.667 0.148
O 0.535 0.148 0.667
O 0.965 0.333 0.852
O 0.905 0.680 0.543
O 0.595 0.457 0.320
O 0.095 0.320 0.457
O 0.405 0.543 0.680

***

Material: Li4CuP6O18
Method: DFT, PBE
State: relaxed

Properties
size of the total moment = 0.993 μB per formula unit
mass density = 2.35 g cm⁻³
space-group type = P1 (1)
E_form (uncorrected) = -2.105 eV/atom

Lattice parameters (Å, degrees): 7.295 7.615 9.438 118.95 107.00 101.95
Site moments in Bohr magnetons follow the coordinates.
Positions (direct):
Li 0.229 0.100 0.861  0.00
Li 0.649 0.454 0.808  0.00
Li 0.402 0.907 0.521  0.00
Li 0.342 0.532 0.180  0.00
Cu 0.782 0.905 0.123  0.64
P 0.088 0.428 0.789  0.00
P 0.376 0.710 0.749  0.00
P 0.204 0.238 0.497  0.00
P 0.788 0.753 0.516  0.00
P 0.634 0.293 0.232  0.00
P 0.929 0.612 0.228  0.00
O 0.244 0.405 0.917  0.00
O 0.583 0.723 0.864  0.05
O 0.205 0.657 0.814  0.00
O 0.882 0.413 0.785  0.00
O 0.385 0.201 0.585  0.01
O 0.043 0.245 0.582  0.00
O 0.376 0.896 0.733  0.00
O 0.928 0.902 0.715  0.00
O 0.289 0.486 0.547  0.01
O 0.734 0.495 0.444  0.00
O 0.075 0.082 0.293  0.07
O 0.645 0.091 0.218  0.06
O 0.932 0.778 0.417  0.00
O 0.586 0.767 0.433  0.00
O 0.152 0.655 0.264  0.00
O 0.809 0.370 0.174  0.01
O 0.425 0.276 0.127  0.01
O 0.786 0.626 0.083  0.06

***

Material: LiCu5P2O8
Method: DFT, PBE
State: relaxed

Properties
size of the total moment = 0.069 μB per formula unit
mass density = 4.61 g cm⁻³
space-group type = Pm (6)
E_form (uncorrected) = -1.299 eV/atom
relative energy among the computed polymorphs = 0.00 eV per formula unit

Lattice parameters (Å, degrees): 6.255 5.653 10.485 87.41 90.00 90.00
Site moments in Bohr magnetons follow the coordinates.
Positions (direct):
Li 0.000 0.110 0.239  0.00
Li 0.500 0.838 0.509  0.00
Cu 0.000 0.241 0.700  0.00
Cu 0.805 0.343 0.473  0.06
Cu 0.706 0.343 0.000  0.00
Cu 0.705 0.619 0.195  0.00
Cu 0.779 0.604 0.790  0.00
Cu 0.500 0.718 0.977  0.00
Cu 0.221 0.604 0.790  0.00
Cu 0.295 0.619 0.195  0.00
Cu 0.195 0.343 0.473  0.06
Cu 0.294 0.343 0.000  0.00
P 0.000 0.899 0.002  0.00
P 0.000 0.817 0.509  0.00
P 0.500 0.148 0.271  0.00
P 0.500 0.171 0.744  0.00
O 0.000 0.855 0.654  0.00
O 0.000 0.066 0.431  0.01
O 0.000 0.797 0.144  0.00
O 0.000 0.174 0.004  0.00
O 0.791 0.690 0.467  0.01
O 0.800 0.816 0.929  0.00
O 0.708 0.266 0.210  0.00
O 0.699 0.326 0.696  0.00
O 0.500 0.158 0.892  0.00
O 0.500 0.929 0.688  0.00
O 0.500 0.179 0.417  0.00
O 0.500 0.883 0.240  0.00
O 0.301 0.326 0.696  0.00
O 0.292 0.266 0.210  0.00
O 0.209 0.690 0.467  0.01
O 0.200 0.816 0.929  0.00

***

Material: LiCuP4O12
Method: DFT, PBE
State: relaxed

Properties
size of the total moment = 0.000 μB per formula unit
mass density = 2.57 g cm⁻³
space-group type = P1 (1)
E_form (uncorrected) = -1.867 eV/atom
relative energy among the computed polymorphs = 0.00 eV per formula unit

Lattice parameters (Å, degrees): 5.602 6.760 7.312 109.25 92.80 104.82
Positions (direct):
Li 0.417 0.320 0.479
Cu 0.980 0.991 0.997
P 0.297 0.778 0.188
P 0.110 0.557 0.771
P 0.872 0.429 0.224
P 0.684 0.216 0.811
O 0.929 0.315 0.728
O 0.716 0.008 0.841
O 0.452 0.187 0.688
O 0.063 0.669 0.278
O 0.279 0.600 0.974
O 0.542 0.835 0.305
O 0.946 0.714 0.816
O 0.705 0.399 0.025
O 0.239 0.981 0.162
O 0.040 0.275 0.169
O 0.715 0.419 0.378
O 0.263 0.546 0.612

***

Material: Li3Cu3P2O8
Method: DFT, PBE
State: relaxed

Properties
size of the total moment = 0.000 μB per formula unit
mass density = 3.82 g cm⁻³
space-group type = P1 (1)
E_form (uncorrected) = -1.731 eV/atom
relative energy among the computed polymorphs = 0.01 eV per formula unit

Lattice parameters (Å, degrees): 5.083 5.485 6.264 87.92 89.42 89.46
Positions (direct):
Li 0.495 0.151 0.999
Li 0.989 0.331 0.254
Li 0.500 0.675 0.247
Cu 0.046 0.769 0.523
Cu 0.577 0.643 0.693
Cu 0.006 0.377 0.732
P 0.997 0.843 0.020
P 0.486 0.176 0.490
O 0.097 0.110 0.021
O 0.694 0.833 0.006
O 0.097 0.691 0.221
O 0.590 0.322 0.290
O 0.179 0.176 0.497
O 0.589 0.909 0.476
O 0.586 0.282 0.705
O 0.130 0.712 0.827

***

Material: Li3Cu3P2O8
Method: DFT, PBE
State: relaxed

Properties
size of the total moment = 0.000 μB per formula unit
mass density = 3.76 g cm⁻³
space-group type = Pm (6)
E_form (uncorrected) = -1.732 eV/atom
relative energy among the computed polymorphs = 0.00 eV per formula unit

Lattice parameters (Å, degrees): 6.191 5.101 5.617 89.59 90.00 90.00
Positions (direct):
Li 0.746 0.502 0.682
Li 0.500 0.007 0.850
Li 0.254 0.502 0.682
Cu 0.000 0.436 0.258
Cu 0.801 0.964 0.328
Cu 0.199 0.964 0.328
P 0.000 0.008 0.796
P 0.500 0.513 0.168
O 0.000 0.894 0.053
O 0.000 0.310 0.790
O 0.786 0.899 0.680
O 0.697 0.414 0.319
O 0.500 0.818 0.158
O 0.500 0.401 0.911
O 0.303 0.414 0.319
O 0.214 0.899 0.680

***

> The highest E_form (uncorrected) belongs to which entry?

number 2